[1]
First-principles (PBE-GGA) data for a relaxed La3Dy2Tm crystal, as listed in the Alexandria database.

Structure (POSCAR):
```
La3Dy2Tm
1.0
3.021 7.623 5.983
-4.552 9.072 -0.043
-1.182 -10.010 1.200
La Dy Tm
6 4 2
Direct
0.250 0.500 0.750
0.750 0.500 0.250
0.415 0.165 0.250
0.085 0.835 0.250
0.585 0.835 0.750
0.915 0.165 0.750
0.667 0.667 0.000
0.833 0.333 0.500
0.167 0.667 0.500
0.333 0.333 0.000
0.500 0.000 0.500
0.000 0.000 0.000
```

Values from the calculation:
As for the density of states at the Fermi level: 9.37 states/eV/f.u.

---

[2]
First-principles (PBE-GGA) data for a relaxed LaDyTm4 crystal, as listed in the Alexandria database.

Structure (POSCAR):
```
LaDyTm4
1.0
6.353 -0.695 0.000
-2.614 8.669 0.000
-1.869 -3.987 7.323
La Dy Tm
2 2 8
Direct
0.332 0.582 0.165
0.668 0.418 0.835
0.247 0.997 0.995
0.753 0.003 0.005
0.038 0.156 0.729
0.743 0.712 0.611
0.191 0.572 0.729
0.368 0.899 0.611
0.632 0.101 0.389
0.809 0.428 0.271
0.257 0.288 0.389
0.962 0.844 0.271
```

Values from the calculation:
As for the density of states at the Fermi level: 10.39 states/eV/f.u.

---

[3]
First-principles (PBE-GGA) data for a relaxed La3Dy4Tm crystal, as listed in the Alexandria database.

Structure (POSCAR):
```
La3Dy4Tm
1.0
3.401 0.000 0.881
1.206 8.592 2.349
-0.493 -1.098 8.908
Dy Tm La
4 1 3
Direct
0.634 0.110 0.621
0.366 0.890 0.379
0.366 0.379 0.890
0.634 0.621 0.110
0.500 0.000 0.000
0.757 0.243 0.243
0.243 0.757 0.757
0.000 0.500 0.500
```

Values from the calculation:
As for the density of states at the Fermi level: 12.32 states/eV/f.u.

---

Number 1: formation energy 0.0738 eV/atom, relative energy among the computed polymorphs 0.000 eV/atom, calculated total energy -4.669 eV/atom. Number 2: formation energy 0.1429 eV/atom, relative energy among the computed polymorphs 0.064 eV/atom, calculated total energy -4.426 eV/atom. Number 3: formation energy 0.1333 eV/atom, relative energy among the computed polymorphs 0.113 eV/atom, calculated total energy -4.574 eV/atom.